# 1
The following is a PBE calculation of a relaxed Cs2PmZnF6 crystal, from Alexandria via LeMat-Bulk.

Computed properties:
final energy	-96.225	eV/cell

Unit cell a=6.8160 b=7.1458 c=9.1017 alpha=90.00 beta=90.00 gamma=90.00
Element x y z (fractional)
Cs 0.5000 0.7983 0.2460
Cs 0.0000 0.2017 0.7460
Cs 0.5000 0.7983 0.7540
Cs 0.0000 0.2017 0.2540
Pm 0.0000 0.6922 0.5000
Pm 0.5000 0.3078 0.0000
Zn 0.5000 0.2961 0.5000
Zn 0.0000 0.7039 0.0000
F 0.5000 0.3182 0.2486
F 0.5000 0.3182 0.7514
F 0.0000 0.6818 0.2514
F 0.0000 0.6818 0.7486
F 0.2235 0.9208 0.5000
F 0.7765 0.9208 0.5000
F 0.2484 0.4737 0.5000
F 0.7516 0.4737 0.5000
F 0.7484 0.5263 0.0000
F 0.2516 0.5263 0.0000
F 0.2765 0.0792 0.0000
F 0.7235 0.0792 0.0000


# 2
The following is a PBE calculation of a relaxed CsPrF crystal, from Alexandria via LeMat-Bulk.

Computed properties:
final energy	-22.736	eV/cell

Unit cell a=3.9281 b=3.9320 c=14.9976 alpha=90.00 beta=90.00 gamma=119.97
Element x y z (fractional)
F 0.6134 0.2268 0.0000
F 0.2766 0.5532 0.5000
Cs 0.6099 0.2197 0.3712
Cs 0.6099 0.2197 0.6288
Pr 0.2784 0.5569 0.8907
Pr 0.2784 0.5569 0.1093


# 3
The following is a PBE calculation of a relaxed CsPrF4 crystal, from Alexandria via LeMat-Bulk.

Computed properties:
final energy	-34.944	eV/cell
ΔE to the lowest computed polymorph	5.6	kJ/mol of formula units

Unit cell a=4.0946 b=4.0946 c=7.0680 alpha=90.00 beta=90.00 gamma=90.00
Element x y z (fractional)
Cs 0.0000 0.0000 0.0000
Pr 0.5000 0.5000 0.5000
F 0.5000 0.0000 0.6873
F 0.0000 0.5000 0.6873
F 0.5000 0.0000 0.3127
F 0.0000 0.5000 0.3127


# 4
The following is a PBE calculation of a relaxed Cs2PrF5 crystal, from Alexandria via LeMat-Bulk.

Computed properties:
final energy	-173.010	eV/cell

Unit cell a=7.3483 b=7.9320 c=12.2128 alpha=90.00 beta=90.00 gamma=90.00
Element x y z (fractional)
Cs 0.4635 0.5021 0.8291
Cs 0.5365 0.4979 0.1709
Cs 0.9635 0.4979 0.6709
Cs 0.5365 0.0021 0.1709
Cs 0.0365 0.5021 0.3291
Cs 0.4635 0.9979 0.8291
Cs 0.0365 0.9979 0.3291
Cs 0.9635 0.0021 0.6709
Pr 0.4459 0.2500 0.5041
Pr 0.5541 0.7500 0.4959
Pr 0.9459 0.7500 0.9959
Pr 0.0541 0.2500 0.0041
F 0.1302 0.2500 0.5169
F 0.8698 0.7500 0.4831
F 0.6302 0.7500 0.9831
F 0.3698 0.2500 0.0169
F 0.3588 0.9669 0.5678
F 0.6412 0.0331 0.4322
F 0.8588 0.0331 0.9322
F 0.6412 0.4669 0.4322
F 0.1412 0.9669 0.0678
F 0.3588 0.5331 0.5678
F 0.1412 0.5331 0.0678
F 0.8588 0.4669 0.9322
F 0.1471 0.2500 0.8203
F 0.8529 0.7500 0.1797
F 0.6471 0.7500 0.6797
F 0.3529 0.2500 0.3203
F 0.6204 0.2500 0.6617
F 0.3796 0.7500 0.3383
F 0.1204 0.7500 0.8383
F 0.8796 0.2500 0.1617


# 5
The following is a PBE calculation of a relaxed CsPrF2 crystal, from Alexandria via LeMat-Bulk.

Computed properties:
final energy	-18.593	eV/cell

Unit cell a=3.6196 b=3.6196 c=7.9737 alpha=76.88 beta=76.88 gamma=60.00
Element x y z (fractional)
Pr 0.0000 0.0000 0.0000
Cs 0.5000 0.5000 0.5000
F 0.7440 0.7440 0.7679
F 0.2560 0.2560 0.2321


# 6
The following is a PBE calculation of a relaxed CsPrF4 crystal, from Alexandria via LeMat-Bulk.

Computed properties:
final energy	-140.007	eV/cell
ΔE to the lowest computed polymorph	0.0	kJ/mol of formula units

Unit cell a=3.8654 b=6.5994 c=17.0883 alpha=90.00 beta=90.00 gamma=90.00
Element x y z (fractional)
Cs 0.7500 0.7731 0.8021
Cs 0.2500 0.2269 0.1979
Cs 0.2500 0.7269 0.3021
Cs 0.7500 0.2731 0.6979
Pr 0.7500 0.2479 0.4464
Pr 0.2500 0.7521 0.5536
Pr 0.2500 0.2521 0.9464
Pr 0.7500 0.7479 0.0536
F 0.7500 0.8838 0.6216
F 0.2500 0.1162 0.3784
F 0.2500 0.6162 0.1216
F 0.7500 0.3838 0.8784
F 0.7500 0.8714 0.4644
F 0.2500 0.1286 0.5356
F 0.2500 0.6286 0.9644
F 0.7500 0.3714 0.0356
F 0.7500 0.0034 0.9487
F 0.2500 0.9966 0.0513
F 0.2500 0.4966 0.4487
F 0.7500 0.5034 0.5513
F 0.7500 0.8935 0.1773
F 0.2500 0.1065 0.8227
F 0.2500 0.6065 0.6773
F 0.7500 0.3935 0.3227


# 7
The following is a PBE calculation of a relaxed Cs2PrZn3F12 crystal, from Alexandria via LeMat-Bulk.

Computed properties:
final energy	-81.578	eV/cell

Unit cell a=7.7059 b=7.7059 c=7.7059 alpha=59.05 beta=59.05 gamma=59.05
Element x y z (fractional)
Cs 0.6132 0.6132 0.6132
Cs 0.3868 0.3868 0.3868
Pr 0.0000 0.0000 0.0000
Zn 0.5000 0.0000 0.0000
Zn 0.0000 0.5000 0.0000
Zn 0.0000 0.0000 0.5000
F 0.2957 0.2957 0.9122
F 0.9022 0.9022 0.3699
F 0.3699 0.9022 0.9022
F 0.9122 0.2957 0.2957
F 0.9022 0.3699 0.9022
F 0.2957 0.9122 0.2957
F 0.7043 0.7043 0.0878
F 0.0978 0.0978 0.6301
F 0.6301 0.0978 0.0978
F 0.0878 0.7043 0.7043
F 0.0978 0.6301 0.0978
F 0.7043 0.0878 0.7043


# 8
The following is a PBE calculation of a relaxed Cs2PtF7 crystal, from Alexandria via LeMat-Bulk.

Computed properties:
final energy	-78.933	eV/cell

Unit cell a=6.6862 b=8.5694 c=8.4129 alpha=82.06 beta=66.59 gamma=67.04
Element x y z (fractional)
Cs 0.5878 0.9246 0.7412
Cs 0.7464 0.4246 0.2412
Cs 0.2536 0.5754 0.7588
Cs 0.4122 0.0754 0.2588
Pt 0.9454 0.2500 0.7500
Pt 0.0546 0.7500 0.2500
F 0.7758 0.4899 0.8277
F 0.9066 0.9899 0.3277
F 0.1803 0.8357 0.0168
F 0.3025 0.2288 0.5989
F 0.6550 0.2500 0.7500
F 0.9672 0.3357 0.5168
F 0.1302 0.2712 0.9011
F 0.8698 0.7288 0.0989
F 0.0328 0.6643 0.4832
F 0.3450 0.7500 0.2500
F 0.6975 0.7712 0.4011
F 0.8197 0.1643 0.9832
F 0.0934 0.0101 0.6723
F 0.2242 0.5101 0.1723